[1]
## Rb2Y2Ti (PBE)

Data for a geometry-optimized Rb2Y2Ti structure.

Lattice parameters (Å, degrees): 7.7272 7.7272 7.3600 90.00 90.00 90.00
Element x y z (fractional)
Rb 0.1853 0.3147 0.0000
Rb 0.3147 0.8147 0.0000
Rb 0.6853 0.1853 0.0000
Rb 0.8147 0.6853 0.0000
Y 0.1709 0.6709 0.5000
Y 0.3291 0.1709 0.5000
Y 0.6709 0.8291 0.5000
Y 0.8291 0.3291 0.5000
Ti 0.0000 0.0000 0.5000
Ti 0.5000 0.5000 0.5000

Results
For the formation energy from the elements, the calculation gives 0.816 eV per atom. The energy above the most stable polymorph in this dataset comes out at 0.000 eV/atom. The value obtained for the density of states at the Fermi level is 14.459 states/eV/cell.

***

[2]
## Rb2NaTiI6 (PBE)

Data for a geometry-optimized Rb2NaTiI6 structure.

Lattice parameters (Å, degrees): 8.4327 8.4327 8.4327 60.00 60.00 60.00
Element x y z (fractional)
Rb 0.2500 0.2500 0.2500
Rb 0.7500 0.7500 0.7500
Na 0.0000 0.0000 0.0000
Ti 0.5000 0.5000 0.5000
I 0.2634 0.2634 0.7366
I 0.2634 0.7366 0.2634
I 0.2634 0.7366 0.7366
I 0.7366 0.2634 0.2634
I 0.7366 0.2634 0.7366
I 0.7366 0.7366 0.2634

Results
The formation energy without anion corrections is -1.11 eV/atom. The value obtained for the density of states at the Fermi level is 7.311 states/eV/cell.